Here is a relaxed Ni3MoSe crystal from Alexandria via LeMat-Bulk. Energies are from GGA-PBE.

Summary:
Spin magnetization, μB/f.u.: 0.000
Fermi-level density of states, states/eV/f.u.: 8.0
Formation energy (no corrections), eV per formula unit: 6.966
Space-group type: No. 221
ΔE to the lowest computed polymorph, meV per atom: 602.6

abc: 4.5142 4.5142 4.5142
angles: 90.00 90.00 90.00
Closest atoms and distances in Å follow each position.
Sites, in units of the cell vectors:
Ni  0.0000  0.5000  0.0000  2 Mo 2.26
Ni  0.0000  0.0000  0.5000  2 Mo 2.26
Ni  0.5000  0.0000  0.0000  2 Mo 2.26
Mo  0.0000  0.0000  0.0000  6 Ni 2.26
Se  0.5000  0.5000  0.5000  12 Ni 3.19

***

Here is a relaxed TiIrBr2 crystal from Alexandria via LeMat-Bulk. Energies are from GGA-PBE.

Summary:
Spin magnetization, μB/f.u.: 0.000
Fermi-level density of states, states/eV/f.u.: 4.0
Formation energy (no corrections), eV per formula unit: 2.018
Space-group type: No. 225
ΔE to the lowest computed polymorph, meV per atom: 412.7

abc: 4.6355 4.6355 4.6355
angles: 60.00 60.00 60.00
Closest atoms and distances in Å follow each position.
Sites, in units of the cell vectors:
Ir  0.5000  0.5000  0.5000  8 Br 2.84
Br  0.2500  0.2500  0.2500  4 Ir 2.84, 4 Ti 2.84
Br  0.7500  0.7500  0.7500  4 Ir 2.84, 4 Ti 2.84
Ti  0.0000  0.0000  0.0000  8 Br 2.84

***

Here is a relaxed GaHgMo3 crystal from Alexandria via LeMat-Bulk. Energies are from GGA-PBE.

Summary:
Spin magnetization, μB/f.u.: 0.000
Fermi-level density of states, states/eV/f.u.: 8.6
Formation energy from the elements, eV/atom: 1.46
Space-group type: No. 221
ΔE to the lowest computed polymorph, meV per atom: 0.0

abc: 4.6226 4.6226 4.6226
angles: 90.00 90.00 90.00
Closest atoms and distances in Å follow each position.
Sites, in units of the cell vectors:
Mo  0.0000  0.5000  0.0000  2 Ga 2.31
Mo  0.0000  0.0000  0.5000  2 Ga 2.31
Mo  0.5000  0.0000  0.0000  2 Ga 2.31
Hg  0.5000  0.5000  0.5000  12 Mo 3.27
Ga  0.0000  0.0000  0.0000  6 Mo 2.31